Entry 1:
A relaxed structure of La3NCl3, computed with PBE.

Unit cell a=3.884 b=8.228 c=11.269 alpha=93.18 beta=90.00 gamma=90.00
Element x y z (fractional)
La (0.250, 0.332, 0.622)
La (0.750, 0.668, 0.378)
La (0.250, 0.910, 0.608)
La (0.750, 0.090, 0.392)
La (0.250, 0.863, 0.159)
La (0.750, 0.137, 0.841)
N (0.250, 0.873, 0.380)
N (0.750, 0.127, 0.620)
Cl (0.250, 0.373, 0.362)
Cl (0.750, 0.627, 0.638)
Cl (0.250, 0.876, 0.880)
Cl (0.750, 0.124, 0.120)
Cl (0.250, 0.393, 0.877)
Cl (0.750, 0.607, 0.123)

Results
Energy relative to the elements, uncorrected (eV per atom): -1.8493
Theoretical density (Mg/m³): 4.96
N(E_F) (states/eV per cell): 5.10
Magnetization (μB per formula unit): 0.0
Polymorph energy (0 for the lowest one) (meV/atom): 0.0

***

Entry 2:
A relaxed structure of LaN2Cl, computed with PBE.

Unit cell a=6.276 b=6.276 c=6.276 alpha=37.45 beta=37.45 gamma=37.45
Element x y z (fractional)
N (0.889, 0.889, 0.889)
N (0.111, 0.111, 0.111)
Cl (0.000, 0.000, 0.000)
La (0.500, 0.500, 0.500)

Results
Energy relative to the elements, uncorrected (eV per atom): 0.1145
Theoretical density (Mg/m³): 4.10
N(E_F) (states/eV per cell): 2.01
Magnetization (μB per formula unit): 2.0
Polymorph energy (0 for the lowest one) (meV/atom): 0.0

***

Entry 3:
A relaxed structure of La4N2Cl5, computed with PBE.

Unit cell a=3.865 b=7.461 c=11.337 alpha=120.21 beta=99.81 gamma=90.00
Element x y z (fractional)
La (0.368, 0.078, 0.736)
La (0.946, 0.609, 0.892)
La (0.632, 0.922, 0.264)
La (0.054, 0.391, 0.108)
N (0.939, 0.281, 0.877)
N (0.061, 0.719, 0.123)
Cl (0.794, 0.220, 0.588)
Cl (0.206, 0.780, 0.412)
Cl (0.839, 0.748, 0.679)
Cl (0.500, 0.000, 0.000)
Cl (0.161, 0.252, 0.321)

Results
Energy relative to the elements, uncorrected (eV per atom): -1.9900
Theoretical density (Mg/m³): 4.56
N(E_F) (states/eV per cell): 1.06
Magnetization (μB per formula unit): 0.0
Polymorph energy (0 for the lowest one) (meV/atom): 0.0

***

Entry 4:
A relaxed structure of La4N3Cl, computed with PBE.

Unit cell a=3.793 b=6.681 c=6.681 alpha=71.11 beta=89.98 gamma=89.98
Element x y z (fractional)
Cl (0.500, 0.500, 0.000)
N (0.500, 0.000, 0.500)
N (0.000, 0.000, 0.000)
N (0.000, 0.500, 0.500)
La (0.000, 0.779, 0.721)
La (0.501, 0.763, 0.263)
La (0.000, 0.222, 0.278)
La (0.499, 0.237, 0.737)

Results
Energy relative to the elements, uncorrected (eV per atom): -1.4104
Theoretical density (Mg/m³): 6.56
N(E_F) (states/eV per cell): 2.73
Magnetization (μB per formula unit): 0.0

***

Entry 5:
A relaxed structure of La3NCl, computed with PBE.

Unit cell a=5.070 b=5.070 c=5.070 alpha=90.00 beta=90.00 gamma=90.00
Element x y z (fractional)
N (0.000, 0.000, 0.000)
Cl (0.500, 0.500, 0.500)
La (0.000, 0.500, 0.000)
La (0.000, 0.000, 0.500)
La (0.500, 0.000, 0.000)

Results
Energy relative to the elements, uncorrected (eV per atom): -0.7280
Theoretical density (Mg/m³): 5.94
N(E_F) (states/eV per cell): 7.50
Magnetization (μB per formula unit): 0.0
Polymorph energy (0 for the lowest one) (meV/atom): 320.7

***

Entry 6:
A relaxed structure of La3NCl, computed with PBE.

Unit cell a=3.777 b=7.098 c=10.064 alpha=90.00 beta=100.81 gamma=90.00
Element x y z (fractional)
La (0.902, 0.359, 0.805)
La (0.098, 0.859, 0.195)
La (0.574, 0.279, 0.148)
La (0.426, 0.779, 0.852)
La (0.762, 0.649, 0.524)
La (0.238, 0.149, 0.476)
N (0.335, 0.515, 0.670)
N (0.665, 0.015, 0.330)
Cl (0.839, 0.993, 0.678)
Cl (0.161, 0.493, 0.322)

Results
Energy relative to the elements, uncorrected (eV per atom): -1.0487
Theoretical density (Mg/m³): 5.84
N(E_F) (states/eV per cell): 7.95
Magnetization (μB per formula unit): 0.8
Polymorph energy (0 for the lowest one) (meV/atom): 0.0

***

Entry 7:
A relaxed structure of LaNCl, computed with PBE.

Unit cell a=4.426 b=4.426 c=7.364 alpha=72.49 beta=72.50 gamma=89.97
Element x y z (fractional)
La (0.243, 0.183, 0.431)
La (0.565, 0.506, 0.786)
N (0.154, 0.594, 0.608)
N (0.654, 0.094, 0.609)
Cl (0.404, 0.844, 0.108)
Cl (0.904, 0.344, 0.109)

Results
Energy relative to the elements, uncorrected (eV per atom): -1.2509
Theoretical density (Mg/m³): 4.79
N(E_F) (states/eV per cell): 5.78
Magnetization (μB per formula unit): 1.0

***

Entry 8:
A relaxed structure of La3N2Cl, computed with PBE.

Unit cell a=7.265 b=6.742 c=7.649 alpha=116.15 beta=118.35 gamma=90.00
Element x y z (fractional)
La (0.000, 0.751, 0.000)
La (0.000, 0.249, 0.000)
La (0.500, 0.749, 0.000)
La (0.000, 0.000, 0.500)
La (0.000, 0.500, 0.500)
La (0.500, 0.251, 0.000)
N (0.104, 0.918, 0.836)
N (0.232, 0.418, 0.836)
N (0.768, 0.582, 0.164)
N (0.896, 0.082, 0.164)
Cl (0.659, 0.250, 0.500)
Cl (0.341, 0.750, 0.500)

Results
Energy relative to the elements, uncorrected (eV per atom): -1.1415
Theoretical density (Mg/m³): 5.59
N(E_F) (states/eV per cell): 5.09
Magnetization (μB per formula unit): 0.0
Polymorph energy (0 for the lowest one) (meV/atom): 263.6